Entry from Alexandria: a geometry-optimized Al2GaAs structure (PBE).

POSCAR file:
```
Al2GaAs
1.0
0.000 3.311 3.311
3.311 0.000 3.311
3.311 3.311 0.000
Al Ga As
2 1 1
direct
0.250 0.250 0.250
0.750 0.750 0.750
0.000 0.000 0.000
0.500 0.500 0.500
```

Energy relative to the elements (eV per atom): 0.1301
Energy (eV per atom): -3.66
Mass density (g/cm³): 4.544